Run A
Hf3NiF6 | PBE+U | relaxed

Cell lengths 6.2522, 6.2522, 7.3615 Å; angles 115.19, 115.19, 59.55 degrees
Fractional coordinates of all 10 atoms:
Hf1 0.0000 0.0000 0.0000
Hf2 0.0000 0.5000 0.0000
Hf3 0.5000 0.0000 0.0000
Ni1 0.0000 0.0000 0.5000
F1 0.0867 0.0867 0.3097
F2 0.0883 0.6347 0.3098
F3 0.3653 0.9117 0.6902
F4 0.6347 0.0883 0.3098
F5 0.9117 0.3653 0.6902
F6 0.9133 0.9133 0.6903

Values from the calculation:
volume = 216.2 Å³/f.u.
N(E_F) = 0.32 states/eV per atom



Run B
Hf3NiF6 | PBE+U | relaxed

Cell lengths 4.9499, 4.9499, 7.8907 Å; angles 107.86, 107.86, 86.50 degrees
Fractional coordinates of all 10 atoms:
Hf1 0.0000 0.0000 0.0000
Hf2 0.0000 0.5000 0.5000
Hf3 0.5000 0.0000 0.5000
Ni1 0.5000 0.5000 0.5000
F1 0.1047 0.6923 0.7869
F2 0.2645 0.2645 0.9917
F3 0.3077 0.8953 0.2131
F4 0.6923 0.1047 0.7869
F5 0.7355 0.7355 0.0083
F6 0.8953 0.3077 0.2131

Values from the calculation:
volume = 175.0 Å³/f.u.
N(E_F) = 0.54 states/eV per atom



Order of stability, best first: run B, run A



Run A
HfNi3F | PBE+U | relaxed

Cell lengths 4.1593, 4.1593, 4.1593 Å; angles 90.00, 90.00, 90.00 degrees
Fractional coordinates of all 5 atoms:
Hf1 0.0000 0.0000 0.0000
Ni1 0.0000 0.5000 0.5000
Ni2 0.5000 0.0000 0.5000
Ni3 0.5000 0.5000 0.0000
F1 0.5000 0.5000 0.5000

Values from the calculation:
volume = 72.0 Å³/f.u.
N(E_F) = 0.72 states/eV per atom



Run B
HfNi3F | PBE+U | relaxed

Cell lengths 4.5448, 4.5448, 4.5448 Å; angles 90.00, 90.00, 90.00 degrees
Fractional coordinates of all 5 atoms:
Hf1 0.0000 0.0000 0.0000
Ni1 0.0000 0.0000 0.5000
Ni2 0.0000 0.5000 0.0000
Ni3 0.5000 0.0000 0.0000
F1 0.5000 0.5000 0.5000

Values from the calculation:
volume = 93.9 Å³/f.u.
N(E_F) = 0.52 states/eV per atom



Order of stability, best first: run A, run B



Run A
HfNiF2 | PBE+U | relaxed

Cell lengths 8.5624, 8.5624, 8.5624 Å; angles 19.23, 19.23, 19.23 degrees
Fractional coordinates of all 4 atoms:
Hf1 0.0000 0.0000 0.0000
Ni1 0.5000 0.5000 0.5000
F1 0.3948 0.3948 0.3948
F2 0.6052 0.6052 0.6052

Values from the calculation:
volume = 59.5 Å³/f.u.
N(E_F) = 0.23 states/eV per atom



Run B
HfNiF2 | PBE+U | relaxed

Cell lengths 4.0500, 4.0500, 4.0500 Å; angles 60.00, 60.00, 60.00 degrees
Fractional coordinates of all 4 atoms:
Hf1 0.0000 0.0000 0.0000
Ni1 0.5000 0.5000 0.5000
F1 0.2500 0.2500 0.2500
F2 0.7500 0.7500 0.7500

Values from the calculation:
volume = 47.0 Å³/f.u.
N(E_F) = 0.11 states/eV per atom



Order of stability, best first: run A, run B



Run A
Hf2NiF | PBE+U | relaxed

Cell lengths 6.9557, 6.9557, 6.9557 Å; angles 138.76, 138.76, 59.74 degrees
Fractional coordinates of all 8 atoms:
Hf1 0.0967 0.6250 0.9717
Hf2 0.3750 0.3467 0.4717
Hf3 0.6533 0.1250 0.0283
Hf4 0.8750 0.9033 0.5283
Ni1 0.2500 0.7500 0.5000
Ni2 0.5000 0.5000 0.0000
F1 0.0000 0.0000 0.0000
F2 0.7500 0.2500 0.5000

Values from the calculation:
volume = 72.4 Å³/f.u.
N(E_F) = 0.69 states/eV per atom



Run B
Hf2NiF | PBE+U | relaxed

Cell lengths 4.4372, 4.4372, 4.4372 Å; angles 60.00, 60.00, 60.00 degrees
Fractional coordinates of all 4 atoms:
Hf1 0.2500 0.2500 0.2500
Hf2 0.7500 0.7500 0.7500
Ni1 0.0000 0.0000 0.0000
F1 0.5000 0.5000 0.5000

Values from the calculation:
volume = 61.8 Å³/f.u.
N(E_F) = 1.24 states/eV per atom



Order of stability, best first: run B, run A



Run A
HfNi2F | PBE+U | relaxed

Cell lengths 5.3804, 5.3804, 5.3804 Å; angles 99.88, 99.88, 131.05 degrees
Fractional coordinates of all 8 atoms:
Hf1 0.0000 0.0000 0.0000
Hf2 0.7500 0.2500 0.5000
Ni1 0.1468 0.6250 0.0218
Ni2 0.3750 0.3968 0.5218
Ni3 0.6032 0.1250 0.9782
Ni4 0.8750 0.8532 0.4782
F1 0.2500 0.7500 0.5000
F2 0.5000 0.5000 0.0000

Values from the calculation:
volume = 53.5 Å³/f.u.
N(E_F) = 0.55 states/eV per atom



Run B
HfNi2F | PBE+U | relaxed

Cell lengths 4.2205, 4.2205, 4.2205 Å; angles 60.00, 60.00, 60.00 degrees
Fractional coordinates of all 4 atoms:
Hf1 0.0000 0.0000 0.0000
Ni1 0.2500 0.2500 0.2500
Ni2 0.7500 0.7500 0.7500
F1 0.5000 0.5000 0.5000

Values from the calculation:
volume = 53.2 Å³/f.u.
N(E_F) = 1.16 states/eV per atom



Order of stability, best first: run A, run B